Na2ReC: PBEsol geometry, meta-GGA SCAN.

abc: 3.917 7.386 7.386
angles: 85.97 74.63 74.63
Last column: magnetic moment on the atom in μB.
Positions (direct):
C  0.500  0.000  0.000  -0.03
Re  0.750  0.500  0.500  1.55
C  0.250  0.500  0.500  -0.03
Na  0.875  0.815  0.685  0.00
Na  0.375  0.185  0.315  0.00
Na  0.310  0.315  0.815  0.00
Re  0.000  0.000  0.000  1.55
Na  0.440  0.685  0.185  0.00

Values from the calculation:
DFT total energy: -21.340 eV/atom
formation energy from the elements: 102.9 kJ/mol of atoms
M_tot: 3.9 μB per cell

=====

TeC7: PBEsol geometry, meta-GGA SCAN.

abc: 4.729 4.729 4.729
angles: 60.00 60.00 60.00
Positions (direct):
C  0.500  0.500  0.500
Te  0.000  0.000  0.000
C  0.000  0.500  0.000
C  0.500  0.500  0.000
C  0.000  0.000  0.500
C  0.000  0.500  0.500
C  0.500  0.000  0.500
C  0.500  0.000  0.000

Values from the calculation:
energy relative to the elements, uncorrected: 4.424 eV/atom
DFT total energy: -9.070 eV/atom
M_tot: 0.0 μB per cell

=====

What is the formula in the first record? Na2ReC